Computed, not measured: crystalline Tl3Bi2Cl2O4 at its relaxed geometry at the PBE level of DFT.

Results
- Raw total energy: -4.315 eV per atom
- Raw formation energy: -825.2 meV per atom
- DOS at the Fermi energy: 3.13 states/eV/cell
- Mass density: 7.55 g cm⁻³
- M_tot: 0.00 μB per formula unit

Lattice parameters (Å, degrees): 4.528 4.528 25.017 90.00 90.00 90.00
Space group I4/mmm (No. 139)
Inequivalent atoms, fractional coordinates:
Tl 0.000 0.000 0.000 x2
Tl 0.000 0.000 0.160 x4
Bi 0.000 0.000 0.413 x4
Cl 0.000 0.000 0.307 x4
O 0.000 0.500 0.083 x8